# LiTbNdDy, relaxed, DFT GGA-PBE
# ΔH_f (0 K) = 0.7 eV/f.u.
# size of the total moment = 0.0 μB per formula unit
data_LiTbNdDy
_chemical_formula_sum 'Li4 Tb4 Nd4 Dy4'
_symmetry_space_group_name_H-M 'F -4 3 m'
_symmetry_Int_Tables_number 216
_symmetry_space_group_name_Hall 'F -4 2 3'
_cell_length_a 7.837
_cell_length_b 7.837
_cell_length_c 7.837
_cell_angle_alpha 90.00
_cell_angle_beta 90.00
_cell_angle_gamma 90.00
loop_
_atom_site_label
_atom_site_type_symbol
_atom_site_fract_x
_atom_site_fract_y
_atom_site_fract_z
Li1 Li 0.000 0.000 0.000
Tb1 Tb 0.250 0.250 0.250
Nd1 Nd 0.250 0.250 0.750
Dy1 Dy 0.000 0.000 0.500



# LiNdDyTc, relaxed, DFT GGA-PBE
# ΔH_f (0 K) = 0.1 eV/f.u.
# size of the total moment = 0.0 μB per formula unit
data_LiNdDyTc
_chemical_formula_sum 'Li4 Nd4 Dy4 Tc4'
_symmetry_space_group_name_H-M 'F -4 3 m'
_symmetry_Int_Tables_number 216
_symmetry_space_group_name_Hall 'F -4 2 3'
_cell_length_a 7.072
_cell_length_b 7.072
_cell_length_c 7.072
_cell_angle_alpha 90.00
_cell_angle_beta 90.00
_cell_angle_gamma 90.00
loop_
_atom_site_label
_atom_site_type_symbol
_atom_site_fract_x
_atom_site_fract_y
_atom_site_fract_z
Li1 Li 0.000 0.000 0.000
Nd1 Nd 0.250 0.250 0.250
Dy1 Dy 0.250 0.250 0.750
Tc1 Tc 0.000 0.000 0.500



# Li2NdDyTe4, relaxed, DFT GGA-PBE
# formation energy from raw total energies = -10.34 eV/f.u.
# size of the total moment = 0.0 μB per formula unit
data_Li2NdDyTe4
_chemical_formula_sum 'Li2 Nd1 Dy1 Te4'
_symmetry_space_group_name_H-M 'P 1 2/m 1'
_symmetry_Int_Tables_number 10
_symmetry_space_group_name_Hall '-P 2y'
_cell_length_a 7.518
_cell_length_b 4.405
_cell_length_c 7.628
_cell_angle_alpha 90.00
_cell_angle_beta 109.74
_cell_angle_gamma 90.00
loop_
_atom_site_label
_atom_site_type_symbol
_atom_site_fract_x
_atom_site_fract_y
_atom_site_fract_z
Li1 Li 0.000 0.000 0.000
Li2 Li 0.000 0.500 0.500
Nd1 Nd 0.500 0.000 0.500
Dy1 Dy 0.500 0.500 0.000
Te1 Te 0.239 0.500 0.240
Te2 Te 0.243 0.000 0.755



# LiNdDy2Te4, relaxed, DFT GGA-PBE
# formation energy from raw total energies = -10.64 eV/f.u.
# size of the total moment = 0.0 μB per formula unit
data_LiNdDy2Te4
_chemical_formula_sum 'Li1 Nd1 Dy2 Te4'
_symmetry_space_group_name_H-M 'P 1 2/m 1'
_symmetry_Int_Tables_number 10
_symmetry_space_group_name_Hall '-P 2y'
_cell_length_a 7.609
_cell_length_b 4.358
_cell_length_c 7.614
_cell_angle_alpha 90.00
_cell_angle_beta 109.15
_cell_angle_gamma 90.00
loop_
_atom_site_label
_atom_site_type_symbol
_atom_site_fract_x
_atom_site_fract_y
_atom_site_fract_z
Li1 Li 0.000 0.000 0.000
Nd1 Nd 0.000 0.500 0.500
Dy1 Dy 0.500 0.000 0.500
Dy2 Dy 0.500 0.500 0.000
Te1 Te 0.249 0.500 0.241
Te2 Te 0.254 0.000 0.761



# LiNd3Dy3Te8, relaxed, DFT GGA-PBE
# formation energy from raw total energies = -20.45 eV/f.u.
# size of the total moment = 0.0 μB per formula unit
data_LiNd3Dy3Te8
_chemical_formula_sum 'Li3 Nd9 Dy9 Te24'
_symmetry_space_group_name_H-M 'R -3 m'
_symmetry_Int_Tables_number 166
_symmetry_space_group_name_Hall '-R 3 2"'
_cell_length_a 8.7945
_cell_length_b 8.7945
_cell_length_c 21.6827
_cell_angle_alpha 90.00
_cell_angle_beta 90.00
_cell_angle_gamma 120.00
loop_
_atom_site_label
_atom_site_type_symbol
_atom_site_fract_x
_atom_site_fract_y
_atom_site_fract_z
Li1 Li 0.0000 0.0000 0.0000
Nd1 Nd 0.0000 0.5000 0.5000
Dy1 Dy 0.0000 0.5000 0.0000
Te1 Te 0.0000 0.0000 0.2535
Te2 Te 0.0022 0.5011 0.2531



# Li3NdDy2Te6, relaxed, DFT GGA-PBE
# formation energy from raw total energies = -15.51 eV/f.u.
# size of the total moment = 0.0 μB per formula unit
data_Li3NdDy2Te6
_chemical_formula_sum 'Li6 Nd2 Dy4 Te12'
_symmetry_space_group_name_H-M 'C 1 2/m 1'
_symmetry_Int_Tables_number 12
_symmetry_space_group_name_Hall '-C 2y'
_cell_length_a 7.592
_cell_length_b 13.151
_cell_length_c 7.510
_cell_angle_alpha 90.00
_cell_angle_beta 109.71
_cell_angle_gamma 90.00
loop_
_atom_site_label
_atom_site_type_symbol
_atom_site_fract_x
_atom_site_fract_y
_atom_site_fract_z
Li1 Li 0.000 0.000 0.000
Li2 Li 0.000 0.334 0.000
Nd1 Nd 0.000 0.500 0.500
Dy1 Dy 0.000 0.167 0.500
Te1 Te 0.244 0.170 0.243
Te2 Te 0.245 0.000 0.758



# LiNd2DyTe4, relaxed, DFT GGA-PBE
# formation energy from raw total energies = -10.85 eV/f.u.
# size of the total moment = 0.0 μB per formula unit
data_LiNd2DyTe4
_chemical_formula_sum 'Li1 Nd2 Dy1 Te4'
_symmetry_space_group_name_H-M 'P 1 2/m 1'
_symmetry_Int_Tables_number 10
_symmetry_space_group_name_Hall '-P 2y'
_cell_length_a 7.623
_cell_length_b 4.393
_cell_length_c 7.670
_cell_angle_alpha 90.00
_cell_angle_beta 109.18
_cell_angle_gamma 90.00
loop_
_atom_site_label
_atom_site_type_symbol
_atom_site_fract_x
_atom_site_fract_y
_atom_site_fract_z
Li1 Li 0.000 0.000 0.000
Nd1 Nd 0.000 0.500 0.500
Nd2 Nd 0.500 0.000 0.500
Dy1 Dy 0.500 0.500 0.000
Te1 Te 0.240 0.500 0.232
Te2 Te 0.249 0.000 0.766



# LiNdDyTl, relaxed, DFT GGA-PBE
# ΔH_f (0 K) = -0.8 eV/f.u.
# size of the total moment = 0.0 μB per formula unit
data_LiNdDyTl
_chemical_formula_sum 'Li4 Nd4 Dy4 Tl4'
_symmetry_space_group_name_H-M 'F -4 3 m'
_symmetry_Int_Tables_number 216
_symmetry_space_group_name_Hall 'F -4 2 3'
_cell_length_a 7.599
_cell_length_b 7.599
_cell_length_c 7.599
_cell_angle_alpha 90.00
_cell_angle_beta 90.00
_cell_angle_gamma 90.00
loop_
_atom_site_label
_atom_site_type_symbol
_atom_site_fract_x
_atom_site_fract_y
_atom_site_fract_z
Li1 Li 0.000 0.000 0.000
Nd1 Nd 0.250 0.250 0.250
Dy1 Dy 0.250 0.250 0.750
Tl1 Tl 0.000 0.000 0.500